(1)
A plane-wave DFT calculation with PBE was carried out for crystalline SmHo4Th at its relaxed geometry.

Cell: 9.2537 9.2537 9.2537 Å, 90.00 90.00 90.00°
Closest atoms and distances in Å follow each position.
Space group F-43m (No. 216)
Unique sites:
1 Sm 0.0000 0.0000 0.0000 [4 per cell]  12 Ho 3.84, 4 Th 4.01
2 Ho 0.1243 0.1243 0.6243 [16 per cell]  6 Ho 3.25-3.29
3 Th 0.2500 0.2500 0.2500 [4 per cell]  12 Ho 3.83, 4 Sm 4.01

Values from the calculation:
**Calculated volume**: 198.10 Å³/f.u.
**E_form**: 0.3295 eV/atom
**Energy above the lowest structure with this stoichiometry**: 307 meV/atom

(2)
A plane-wave DFT calculation with PBE was carried out for crystalline Th3MnSb at its relaxed geometry.

Cell: 5.2018 5.2018 5.2018 Å, 90.00 90.00 90.00°
Closest atoms and distances in Å follow each position.
Space group Pm-3m (No. 221)
Unique sites:
1 Th 0.0000 0.0000 0.5000 [3 per cell]  2 Mn 2.60
2 Mn 0.0000 0.0000 0.0000 [1 per cell]  6 Th 2.60
3 Sb 0.5000 0.5000 0.5000 [1 per cell]  12 Th 3.68

Values from the calculation:
**Calculated volume**: 140.76 Å³/f.u.
**Formation energy without anion corrections**: -1.31 eV per formula unit

(3)
A plane-wave DFT calculation with PBE was carried out for crystalline TaNiMo at its relaxed geometry.

Cell: 4.4840 4.4840 2.6219 Å, 90.00 90.00 120.00°
Closest atoms and distances in Å follow each position.
Space group P3m1 (No. 156)
Unique sites:
1 Ta 0.0000 0.0000 0.0000 [1 per cell]  2 Ta 2.62, 3 Ni 2.63, 3 Mo 2.79
2 Ni 0.3333 0.6667 0.8154 [1 per cell]  2 Ni 2.62, 3 Ta 2.63, 3 Mo 2.81
3 Mo 0.6667 0.3333 0.3994 [1 per cell]  2 Mo 2.62, 3 Ta 2.79, 3 Ni 2.81

Values from the calculation:
**Calculated volume**: 45.65 Å³/f.u.
**E_form**: 0.1407 eV/atom
**Energy above the lowest structure with this stoichiometry**: 234 meV/atom

(4)
A plane-wave DFT calculation with PBE was carried out for crystalline ZrFeNi3 at its relaxed geometry.

Cell: 4.5318 4.5318 4.5318 Å, 90.00 90.00 90.00°
Closest atoms and distances in Å follow each position.
Space group Pm-3m (No. 221)
Unique sites:
1 Zr 0.0000 0.0000 0.0000 [1 per cell]  6 Ni 2.27
2 Fe 0.5000 0.5000 0.5000 [1 per cell]  12 Ni 3.20
3 Ni 0.0000 0.0000 0.5000 [3 per cell]  2 Zr 2.27

Values from the calculation:
**Calculated volume**: 93.07 Å³/f.u.
**E_form**: 1.3855 eV/atom

(5)
A plane-wave DFT calculation with PBE was carried out for crystalline ScTiAg3 at its relaxed geometry.

Cell: 4.9269 4.9269 4.9269 Å, 90.00 90.00 90.00°
Closest atoms and distances in Å follow each position.
Space group Pm-3m (No. 221)
Unique sites:
1 Sc 0.0000 0.0000 0.0000 [1 per cell]  12 Ag 3.48
2 Ti 0.5000 0.5000 0.5000 [1 per cell]  6 Ag 2.46
3 Ag 0.0000 0.5000 0.5000 [3 per cell]  2 Ti 2.46

Values from the calculation:
**Calculated volume**: 119.60 Å³/f.u.
**E_form**: 0.7797 eV/atom
**Energy above the lowest structure with this stoichiometry**: 0 meV/atom

(6)
A plane-wave DFT calculation with PBE was carried out for crystalline TbPrGeSe at its relaxed geometry.

Cell: 4.2285 4.2285 20.8681 Å, 90.00 90.00 120.00°
Closest atoms and distances in Å follow each position.
Space group R3m (No. 160, hexagonal axes)
Unique sites:
1 Tb 0.0000 0.0000 0.0000 [3 per cell]  3 Ge 2.92, 3 Se 2.99
2 Pr 0.0000 0.0000 0.5069 [3 per cell]  3 Ge 2.99, 3 Se 3.09
3 Ge 0.0000 0.0000 0.2563 [3 per cell]  3 Tb 2.92, 3 Pr 2.99
4 Se 0.0000 0.0000 0.7494 [3 per cell]  3 Tb 2.99, 3 Pr 3.09

Values from the calculation:
**Calculated volume**: 107.71 Å³/f.u.
**Formation energy without anion corrections**: -5.55 eV per formula unit

(7)
A plane-wave DFT calculation with PBE was carried out for crystalline MnMo2HIr at its relaxed geometry.

Cell: 3.9393 3.9393 3.8505 Å, 90.00 90.00 90.00°
Closest atoms and distances in Å follow each position.
Space group P4/mmm (No. 123)
Unique sites:
1 Mn 0.0000 0.0000 0.0000 [1 per cell]  2 H 1.93
2 Mo 0.0000 0.5000 0.5000 [2 per cell]  2 H 1.97
3 H 0.0000 0.0000 0.5000 [1 per cell]  2 Mn 1.93, 4 Mo 1.97
4 Ir 0.5000 0.5000 0.0000 [1 per cell]  8 Mo 2.75, 4 Mn 2.79

Values from the calculation:
**Calculated volume**: 59.75 Å³/f.u.
**VASP energy**: -8.674 eV per atom

(8)
A plane-wave DFT calculation with PBE was carried out for crystalline Zn6Co at its relaxed geometry.

Cell: 6.9112 6.9112 6.9112 Å, 90.00 90.00 90.00°
Closest atoms and distances in Å follow each position.
Space group Im-3m (No. 229)
Unique sites:
1 Zn 0.0000 0.2500 0.5000 [12 per cell]  4 Zn 2.44
2 Co 0.0000 0.0000 0.0000 [2 per cell]  24 Zn 3.86

Values from the calculation:
**Calculated volume**: 165.05 Å³/f.u.
**E_form**: 0.9172 eV/atom
**Energy above the lowest structure with this stoichiometry**: 955 meV/atom

(9)
A plane-wave DFT calculation with PBE was carried out for crystalline KLiBeMo2 at its relaxed geometry.

Cell: 4.6403 4.6403 3.9020 Å, 90.00 90.00 90.00°
Closest atoms and distances in Å follow each position.
Space group P4/mmm (No. 123)
Unique sites:
1 K 0.0000 0.0000 0.0000 [1 per cell]  2 Li 1.95
2 Li 0.0000 0.0000 0.5000 [1 per cell]  2 K 1.95
3 Be 0.5000 0.5000 0.5000 [1 per cell]  8 Mo 3.03, 4 Li 3.28
4 Mo 0.0000 0.5000 0.0000 [2 per cell]  2 K 2.32

Values from the calculation:
**Calculated volume**: 84.02 Å³/f.u.
**E_form**: 2.6101 eV/atom

(10)
A plane-wave DFT calculation with PBE was carried out for crystalline Dy2ScAl3 at its relaxed geometry.

Cell: 3.5191 3.5191 10.6292 Å, 90.00 90.00 90.00°
Closest atoms and distances in Å follow each position.
Space group P4/mmm (No. 123)
Unique sites:
1 Dy 0.0000 0.0000 0.1745 [2 per cell]  8 Al 3.10-3.13, 1 Sc 3.46
2 Sc 0.0000 0.0000 0.5000 [1 per cell]  8 Al 2.94
3 Al 0.5000 0.5000 0.0000 [1 per cell]  8 Dy 3.10
4 Al 0.5000 0.5000 0.3532 [2 per cell]  4 Sc 2.94, 1 Al 3.12, 4 Dy 3.13

Values from the calculation:
**Calculated volume**: 131.64 Å³/f.u.
**E_form**: -0.4113 eV/atom
**Energy above the lowest structure with this stoichiometry**: 0 meV/atom

(11)
A plane-wave DFT calculation with PBE was carried out for crystalline TlSn2SbSe4 at its relaxed geometry.

Cell: 8.5465 8.6432 12.0984 Å, 90.00 90.00 90.00°
Closest atoms and distances in Å follow each position.
Space group Imma (No. 74)
Unique sites:
1 Tl 0.2500 0.2500 0.2500 [4 per cell]  6 Se 3.10-3.13
2 Sn 0.0000 0.0000 0.0000 [4 per cell]  6 Se 3.07-3.09
3 Sn 0.2500 0.2500 0.7500 [4 per cell]  6 Se 2.95
4 Sb 0.0000 0.0000 0.5000 [4 per cell]  6 Se 2.99
5 Se 0.0000 0.0140 0.7468 [8 per cell]  3 Sn 2.95-3.07, 1 Sb 2.99, 2 Tl 3.13
6 Se 0.2423 0.2500 0.5060 [8 per cell]  3 Sn 2.95-3.09, 2 Sb 2.99, 1 Tl 3.10

Values from the calculation:
**Calculated volume**: 223.42 Å³/f.u.
**Formation energy without anion corrections**: -2.67 eV per formula unit

(12)
A plane-wave DFT calculation with PBE was carried out for crystalline MgTa2Si at its relaxed geometry.

Cell: 3.9555 3.9555 8.6526 Å, 90.00 90.00 90.00°
Closest atoms and distances in Å follow each position.
Space group I-4m2 (No. 119)
Unique sites:
1 Mg 0.0000 0.0000 0.0000 [2 per cell]  8 Ta 2.80-2.93, 4 Si 2.93
2 Ta 0.0000 0.0000 0.5000 [2 per cell]  4 Mg 2.80, 4 Ta 2.93, 4 Si 2.93
3 Ta 0.0000 0.5000 0.7500 [2 per cell]  4 Si 2.80, 4 Ta 2.93, 4 Mg 2.93
4 Si 0.0000 0.5000 0.2500 [2 per cell]  8 Ta 2.80-2.93, 4 Mg 2.93

Values from the calculation:
**Calculated volume**: 67.69 Å³/f.u.
**Formation energy without anion corrections**: 0.30 eV per formula unit